# 1
This record from Alexandria via LeMat-Bulk describes crystalline Ga2TePdI at its relaxed geometry. The functional is PBE.

It has space group P4/mmm (No. 123), with a = 5.852 Å, b = 5.852 Å, c = 4.999 Å, α = 90.00°, β = 90.00° and γ = 90.00°. The inequivalent atoms are Ga at (0.000, 0.500, 0.000), Te at (0.000, 0.000, 0.500), Pd at (0.500, 0.500, 0.500) and I at (0.500, 0.500, 0.000).

Its density of states at the Fermi level is 6.89 states/eV/cell. The formation energy (no corrections) comes out at 0.472 eV/atom. For the size of the total moment, the calculation gives 0.0 μB/cell.

# 2
This record from Alexandria via LeMat-Bulk describes crystalline GaTePdI2 at its relaxed geometry. The functional is PBE.

It has space group P4/mmm (No. 123), with a = 5.593 Å, b = 5.593 Å, c = 5.287 Å, α = 90.00°, β = 90.00° and γ = 90.00°. The inequivalent atoms are Ga at (0.000, 0.000, 0.000), Te at (0.500, 0.500, 0.000), Pd at (0.500, 0.500, 0.500) and I at (0.000, 0.500, 0.500).

Its density of states at the Fermi level is 5.38 states/eV/cell. The formation energy (no corrections) comes out at 0.035 eV/atom. As for the offset from the most stable computed form: 0.0 meV per atom. For the size of the total moment, the calculation gives 0.0 μB/cell.

# 3
This record from Alexandria via LeMat-Bulk describes crystalline Tl2GaPdI at its relaxed geometry. The functional is PBE.

It has space group P4/mmm (No. 123), with a = 5.509 Å, b = 5.509 Å, c = 4.915 Å, α = 90.00°, β = 90.00° and γ = 90.00°. The inequivalent atoms are Tl at (0.000, 0.500, 0.000), Ga at (0.000, 0.000, 0.500), Pd at (0.000, 0.000, 0.000) and I at (0.500, 0.500, 0.500).

Its density of states at the Fermi level is 1.93 states/eV/cell. The formation energy (no corrections) comes out at -0.313 eV/atom. For the size of the total moment, the calculation gives 0.0 μB/cell.

# 4
This record from Alexandria via LeMat-Bulk describes crystalline VGa2PdI at its relaxed geometry. The functional is PBE.

It has space group P4/mmm (No. 123), with a = 5.159 Å, b = 5.159 Å, c = 4.763 Å, α = 90.00°, β = 90.00° and γ = 90.00°. The inequivalent atoms are V at (0.000, 0.000, 0.000), Ga at (0.000, 0.500, 0.000), Pd at (0.000, 0.000, 0.500) and I at (0.500, 0.500, 0.500).

Its density of states at the Fermi level is 4.78 states/eV/cell. The formation energy (no corrections) comes out at 0.535 eV/atom. For the size of the total moment, the calculation gives 3.3 μB/cell.

# 5
This record from Alexandria via LeMat-Bulk describes crystalline ZrGaPdI2 at its relaxed geometry. The functional is PBE.

It has space group P4/mmm (No. 123), with a = 5.679 Å, b = 5.679 Å, c = 4.675 Å, α = 90.00°, β = 90.00° and γ = 90.00°. The inequivalent atoms are Zr at (0.000, 0.000, 0.000), Ga at (0.500, 0.500, 0.500), Pd at (0.500, 0.500, 0.000) and I at (0.000, 0.500, 0.500).

Its density of states at the Fermi level is 7.31 states/eV/cell. The formation energy (no corrections) comes out at 0.598 eV/atom. For the size of the total moment, the calculation gives 2.3 μB/cell.

# 6
This record from Alexandria via LeMat-Bulk describes crystalline Pm5Ga2I at its relaxed geometry. The functional is PBE.

It has space group I4/mcm (No. 140), with a = 8.387 Å, b = 8.387 Å, c = 13.159 Å, α = 90.00°, β = 90.00° and γ = 90.00°. The inequivalent atoms are Pm at (0.000, 0.000, 0.000), Pm at (0.151, 0.349, 0.140), Ga at (0.151, 0.349, 0.500) and I at (0.000, 0.000, 0.250).

Its density of states at the Fermi level is 35.68 states/eV/cell. The formation energy (no corrections) comes out at -0.487 eV/atom. For the size of the total moment, the calculation gives 0.0 μB/cell.

# 7
This record from Alexandria via LeMat-Bulk describes crystalline PmGa3I6 at its relaxed geometry. The functional is PBE.

It has space group P2_1/c (No. 14), with a = 7.935 Å, b = 8.716 Å, c = 14.284 Å, α = 90.00°, β = 123.30° and γ = 90.00°. The inequivalent atoms are Pm at (0.000, 0.000, 0.000), Ga at (0.332, 0.143, 0.757), Ga at (0.500, 0.000, 0.500), I at (0.096, 0.050, 0.241), I at (0.243, 0.694, 0.075) and I at (0.391, 0.180, 0.074).

Its density of states at the Fermi level is 0.00 states/eV/cell. The formation energy (no corrections) comes out at -0.748 eV/atom. For the size of the total moment, the calculation gives 0.0 μB/cell.

# 8
This record from Alexandria via LeMat-Bulk describes crystalline Pm2GaI3 at its relaxed geometry. The functional is PBE.

It has space group C2/m (No. 12), with a = 20.347 Å, b = 4.476 Å, c = 13.301 Å, α = 90.00°, β = 128.46° and γ = 90.00°. The inequivalent atoms are Pm at (0.114, 0.000, 0.451), Pm at (0.127, 0.500, 0.796), Ga at (0.058, 0.000, 0.612), I at (0.040, 0.500, 0.233), I at (0.170, 0.000, 0.011) and I at (0.248, 0.500, 0.629).

Its density of states at the Fermi level is 0.01 states/eV/cell. The formation energy (no corrections) comes out at -0.994 eV/atom. For the size of the total moment, the calculation gives 0.0 μB/cell.

# 9
This record from Alexandria via LeMat-Bulk describes crystalline PmGaI6 at its relaxed geometry. The functional is PBE.

It has space group C2/m (No. 12), with a = 7.389 Å, b = 14.015 Å, c = 7.387 Å, α = 90.00°, β = 108.14° and γ = 90.00°. The inequivalent atoms are Pm at (0.000, 0.000, 0.000), Ga at (0.000, 0.500, 0.500), I at (0.222, 0.355, 0.724) and I at (0.247, 0.500, 0.257).

The formation energy (no corrections) comes out at -0.785 eV/atom. For the size of the total moment, the calculation gives 0.0 μB/cell.

# 10
This record from Alexandria via LeMat-Bulk describes crystalline Pm2GaI2 at its relaxed geometry. The functional is PBE.

It has space group C2/m (No. 12), with a = 7.251 Å, b = 4.187 Å, c = 12.796 Å, α = 90.00°, β = 102.03° and γ = 90.00°. The inequivalent atoms are Pm at (0.221, 0.000, 0.148), Ga at (0.000, 0.500, 0.000) and I at (0.051, 0.000, 0.686).

Its density of states at the Fermi level is 3.36 states/eV/cell. The formation energy (no corrections) comes out at -1.031 eV/atom. For the size of the total moment, the calculation gives 0.0 μB/cell.

# 11
This record from Alexandria via LeMat-Bulk describes crystalline Pm2GaI2 at its relaxed geometry. The functional is PBE.

It has space group R-3m (No. 166, hexagonal axes), with a = 4.1871 Å, b = 4.1871 Å, c = 35.9833 Å, α = 90.00°, β = 90.00° and γ = 120.00°. The inequivalent atoms are Pm at (0.0000, 0.0000, 0.1152), Ga at (0.0000, 0.0000, 0.5000) and I at (0.0000, 0.0000, 0.2757).

Its density of states at the Fermi level is 5.05 states/eV/cell. The formation energy (no corrections) comes out at -1.031 eV/atom. For the size of the total moment, the calculation gives 0.0 μB/cell.

# 12
This record from Alexandria via LeMat-Bulk describes crystalline Pm4Ga2I5 at its relaxed geometry. The functional is PBE.

It has space group C2/m (No. 12), with a = 24.231 Å, b = 4.281 Å, c = 8.699 Å, α = 90.00°, β = 91.13° and γ = 90.00°. The inequivalent atoms are Pm at (0.017, 0.000, 0.290), Pm at (0.162, 0.500, 0.444), Ga at (0.050, 0.500, 0.527), I at (0.000, 0.500, 0.000), I at (0.145, 0.000, 0.180) and I at (0.208, 0.000, 0.684).

Its density of states at the Fermi level is 9.42 states/eV/cell. The formation energy (no corrections) comes out at -0.964 eV/atom. For the size of the total moment, the calculation gives 0.0 μB/cell.

# 13
This record from Alexandria via LeMat-Bulk describes crystalline Pm8Ga3PtI4 at its relaxed geometry. The functional is PBE.

It has space group C2/m (No. 12), with a = 15.023 Å, b = 8.657 Å, c = 9.135 Å, α = 90.00°, β = 123.29° and γ = 90.00°. The inequivalent atoms are Pm at (0.014, 0.244, 0.299), Pm at (0.230, 0.000, 0.702), Pm at (0.238, 0.500, 0.714), Ga at (0.000, 0.500, 0.500), Ga at (0.250, 0.250, 0.500), Pt at (0.000, 0.000, 0.500), I at (0.000, 0.000, 0.000), I at (0.000, 0.500, 0.000) and I at (0.250, 0.250, 0.000).

Its density of states at the Fermi level is 30.80 states/eV/cell. The formation energy (no corrections) comes out at -0.822 eV/atom. For the size of the total moment, the calculation gives 0.0 μB/cell.

# 14
This record from Alexandria via LeMat-Bulk describes crystalline Rb2PmGaI6 at its relaxed geometry. The functional is PBE.

It has space group P2_1/c (No. 14), with a = 8.468 Å, b = 8.992 Å, c = 14.845 Å, α = 90.00°, β = 124.25° and γ = 90.00°. The inequivalent atoms are Rb at (0.219, 0.083, 0.249), Pm at (0.500, 0.000, 0.000), Ga at (0.000, 0.000, 0.500), I at (0.149, 0.188, 0.949), I at (0.267, 0.706, 0.949) and I at (0.361, 0.023, 0.757).

Its density of states at the Fermi level is 0.00 states/eV/cell. The formation energy (no corrections) comes out at -1.248 eV/atom. For the size of the total moment, the calculation gives 0.0 μB/cell.

# 15
This record from Alexandria via LeMat-Bulk describes crystalline Pm6GaRh2I3 at its relaxed geometry. The functional is PBE.

It has space group C2/m (No. 12), with a = 7.330 Å, b = 12.699 Å, c = 8.371 Å, α = 90.00°, β = 107.00° and γ = 90.00°. The inequivalent atoms are Pm at (0.214, 0.000, 0.189), Pm at (0.237, 0.325, 0.190), Ga at (0.000, 0.500, 0.000), Rh at (0.000, 0.167, 0.000), I at (0.000, 0.000, 0.500) and I at (0.000, 0.338, 0.500).

Its density of states at the Fermi level is 15.02 states/eV/cell. The formation energy (no corrections) comes out at -0.849 eV/atom. For the size of the total moment, the calculation gives 0.0 μB/cell.

# 16
This record from Alexandria via LeMat-Bulk describes crystalline Pm8Ga3RhI4 at its relaxed geometry. The functional is PBE.

It has space group C2/m (No. 12), with a = 14.976 Å, b = 8.635 Å, c = 9.151 Å, α = 90.00°, β = 123.08° and γ = 90.00°. The inequivalent atoms are Pm at (0.015, 0.241, 0.303), Pm at (0.226, 0.000, 0.697), Pm at (0.238, 0.500, 0.714), Ga at (0.000, 0.500, 0.500), Ga at (0.250, 0.250, 0.500), Rh at (0.000, 0.000, 0.500), I at (0.000, 0.000, 0.000), I at (0.000, 0.500, 0.000) and I at (0.250, 0.250, 0.000).

Its density of states at the Fermi level is 27.56 states/eV/cell. The formation energy (no corrections) comes out at -0.775 eV/atom. For the size of the total moment, the calculation gives 0.0 μB/cell.

# 17
This record from Alexandria via LeMat-Bulk describes crystalline Pm6Ga2SI3 at its relaxed geometry. The functional is PBE.

It has space group C2/m (No. 12), with a = 7.383 Å, b = 12.770 Å, c = 8.041 Å, α = 90.00°, β = 107.77° and γ = 90.00°. The inequivalent atoms are Pm at (0.231, 0.164, 0.199), Pm at (0.238, 0.500, 0.200), Ga at (0.000, 0.334, 0.000), S at (0.000, 0.000, 0.000), I at (0.000, 0.169, 0.500) and I at (0.000, 0.500, 0.500).

Its density of states at the Fermi level is 12.96 states/eV/cell. The formation energy (no corrections) comes out at -1.025 eV/atom. For the size of the total moment, the calculation gives 0.0 μB/cell.

# 18
This record from Alexandria via LeMat-Bulk describes crystalline Pm8GaS3I4 at its relaxed geometry. The functional is PBE.

It has space group R-3m (No. 166, hexagonal axes), with a = 8.3519 Å, b = 8.3519 Å, c = 22.9789 Å, α = 90.00°, β = 90.00° and γ = 120.00°. The inequivalent atoms are Pm at (0.0000, 0.0000, 0.2271), Pm at (0.0096, 0.5048, 0.7701), Ga at (0.0000, 0.0000, 0.5000), S at (0.0000, 0.5000, 0.5000), I at (0.0000, 0.0000, 0.0000) and I at (0.0000, 0.5000, 0.0000).

Its density of states at the Fermi level is 21.34 states/eV/cell. The formation energy (no corrections) comes out at -1.313 eV/atom. For the size of the total moment, the calculation gives 0.0 μB/cell.

# 19
This record from Alexandria via LeMat-Bulk describes crystalline Pm4GaSI2 at its relaxed geometry. The functional is PBE.

It has space group P2/m (No. 10), with a = 7.237 Å, b = 4.262 Å, c = 8.086 Å, α = 90.00°, β = 108.16° and γ = 90.00°. The inequivalent atoms are Pm at (0.225, 0.000, 0.191), Pm at (0.260, 0.500, 0.802), Ga at (0.500, 0.000, 0.000), S at (0.000, 0.500, 0.000), I at (0.000, 0.000, 0.500) and I at (0.500, 0.500, 0.500).

Its density of states at the Fermi level is 4.05 states/eV/cell. The formation energy (no corrections) comes out at -1.142 eV/atom. For the size of the total moment, the calculation gives 0.0 μB/cell.

# 20
This record from Alexandria via LeMat-Bulk describes crystalline Pm8Ga3SeI4 at its relaxed geometry. The functional is PBE.

It has space group R-3m (No. 166, hexagonal axes), with a = 8.6847 Å, b = 8.6847 Å, c = 22.6594 Å, α = 90.00°, β = 90.00° and γ = 120.00°. The inequivalent atoms are Pm at (0.0000, 0.0000, 0.2350), Pm at (0.0063, 0.5031, 0.7657), Ga at (0.0000, 0.5000, 0.5000), Se at (0.0000, 0.0000, 0.5000), I at (0.0000, 0.0000, 0.0000) and I at (0.0000, 0.5000, 0.0000).

Its density of states at the Fermi level is 24.23 states/eV/cell. The formation energy (no corrections) comes out at -0.938 eV/atom. For the size of the total moment, the calculation gives 0.0 μB/cell.